# RbScSnP2 | Alexandria via LeMat-Bulk | PBE-GGA | optimized geometry
# Formation energy from the elements ... -0.04 eV per atom
# Crystal system ... tetragonal
# Density ... 3.6 g/cm3
# Total moment ... 0.0 μB/f.u.
# DOS at the Fermi energy ... 2.5 states/eV/cell
data_RbScSnP2
_cell_length_a 5.106
_cell_length_b 5.547
_cell_length_c 5.106
_cell_angle_alpha 90.00
_cell_angle_beta 90.00
_cell_angle_gamma 90.00
_symmetry_space_group_name_H-M 'P 1'
_symmetry_Int_Tables_number 1
_symmetry_space_group_name_Hall 'P 1'
loop_
_atom_site_label
_atom_site_fract_x
_atom_site_fract_y
_atom_site_fract_z
P1 0.500 0.000 0.000
P2 0.000 0.000 0.500
Sc1 0.000 0.000 0.000
Sn1 0.000 0.500 0.000
Rb1 0.500 0.500 0.500